Material: SmDyPuSn
Method: DFT, PBE-GGA
State: relaxed

Calculated values
Its energy relative to the elements is -2.86 kcal/mol of atoms. Its spin magnetization is 7.001 μB per formula unit. For the volume, the calculation gives 28.5 A^3/atom.

Cell lengths 5.4408, 5.4408, 5.4408 Å; angles 60.00, 60.00, 60.00 degrees
Last column: nearest neighbours and their distance in Å.
Fractional coordinates of all 4 atoms:
1 Dy 0.7500 0.7500 0.7500  4 Pu 3.33, 4 Sm 3.33
2 Sn 0.2500 0.2500 0.2500  4 Sm 3.33, 4 Pu 3.33
3 Sm 0.5000 0.5000 0.5000  4 Sn 3.33, 4 Dy 3.33
4 Pu 0.0000 0.0000 0.0000  4 Dy 3.33, 4 Sn 3.33